Record 1
Cr2MoHPt | Alexandria via LeMat-Bulk | PBE-GGA | optimized geometry; space-group type = P4/mmm (123); D(E_F) = 3.7 states/eV/cell; volume = 11.35 A^3/atom; raw total energy = -0.29202 Ha/atom
1.0
3.8384 0.0000 0.0000
0.0000 3.8384 0.0000
0.0000 0.0000 3.8512
Cr Mo H Pt
2 1 1 1
Direct
0.0000 0.5000 0.0000
0.5000 0.0000 0.0000
0.0000 0.0000 0.5000
0.0000 0.0000 0.0000
0.5000 0.5000 0.5000


Record 2
La2Sm3Er5 | Alexandria via LeMat-Bulk | PBE-GGA | optimized geometry; energy relative to the elements = 0.183 eV/atom; space-group type = C2/c (15); D(E_F) = 30.7 states/eV/cell; volume = 33.24 A^3/atom; raw total energy = -0.16537 Ha/atom
1.0
5.3189 -8.1482 0.0000
5.3189 8.1482 0.0000
-5.3153 0.0000 7.6705
La Sm Er
4 6 10
Direct
0.0197 0.2689 0.0478
0.2689 0.0197 0.5478
0.7311 0.9803 0.4522
0.9803 0.7311 0.9522
0.2240 0.4685 0.4533
0.2723 0.7277 0.2500
0.4685 0.2240 0.9533
0.5315 0.7760 0.0467
0.7277 0.2723 0.7500
0.7760 0.5315 0.5467
0.0245 0.9755 0.7500
0.1464 0.3799 0.7682
0.2293 0.7707 0.7500
0.3799 0.1464 0.2682
0.4725 0.5275 0.2500
0.5275 0.4725 0.7500
0.6201 0.8536 0.7318
0.7707 0.2293 0.2500
0.8536 0.6201 0.2318
0.9755 0.0245 0.2500


Record 3
Tb2PmNd6Sm3 | Alexandria via LeMat-Bulk | PBE-GGA | optimized geometry; energy relative to the elements = 0.012 eV/atom; space-group type = C2/m (12); D(E_F) = 16.7 states/eV/cell; volume = 34.25 A^3/atom; raw total energy = -0.17343 Ha/atom
1.0
3.1616 -5.4764 0.0000
3.1616 5.4764 0.0000
-2.1112 0.0000 11.8686
Tb Pm Nd Sm
2 1 6 3
Direct
0.1666 0.8334 0.0000
0.8334 0.1666 0.0000
0.5000 0.5000 0.0000
0.0828 0.4167 0.7510
0.2496 0.2496 0.2489
0.4167 0.0828 0.7510
0.5833 0.9172 0.2490
0.7504 0.7504 0.7511
0.9172 0.5833 0.2490
0.0000 0.0000 0.5000
0.3331 0.6669 0.5000
0.6669 0.3331 0.5000


Record 4
Nd2PtPbO5 | Alexandria via LeMat-Bulk | PBE-GGA | optimized geometry; raw formation energy = -2132 meV per atom; space-group type = P4/mbm (127); D(E_F) = 0.0 states/eV/cell; volume = 15.22 A^3/atom; raw total energy = -0.25831 Ha/atom
1.0
6.8043 0.0000 0.0000
0.0000 6.8043 0.0000
0.0000 0.0000 5.9160
Nd Pt Pb O
4 2 2 10
Direct
0.1740 0.3260 0.0000
0.3260 0.8260 0.0000
0.6740 0.1740 0.0000
0.8260 0.6740 0.0000
0.0000 0.5000 0.5000
0.5000 0.0000 0.5000
0.0000 0.0000 0.5000
0.5000 0.5000 0.5000
0.0000 0.0000 0.0000
0.1402 0.6402 0.2460
0.1402 0.6402 0.7540
0.3598 0.1402 0.2460
0.3598 0.1402 0.7540
0.5000 0.5000 0.0000
0.6402 0.8598 0.2460
0.6402 0.8598 0.7540
0.8598 0.3598 0.2460
0.8598 0.3598 0.7540


Record 5
Co2Te3H | Alexandria via LeMat-Bulk | PBE-GGA | optimized geometry; space-group type = C2/m (12); D(E_F) = 7.2 states/eV/cell; volume = 19.79 A^3/atom; raw total energy = -0.16616 Ha/atom
1.0
8.4564 -1.7470 0.0000
8.4564 1.7470 0.0000
-3.4239 0.0000 8.0361
Co Te H
4 6 2
Direct
0.0682 0.0682 0.4522
0.4261 0.4261 0.2746
0.5739 0.5739 0.7254
0.9318 0.9318 0.5478
0.1525 0.1525 0.9398
0.3185 0.3185 0.3950
0.4387 0.4387 0.7681
0.5613 0.5613 0.2319
0.6815 0.6815 0.6050
0.8475 0.8475 0.0602
0.0404 0.0404 0.6213
0.9596 0.9596 0.3787


Record 6
ZrTi2Co2 | Alexandria via LeMat-Bulk | PBE-GGA | optimized geometry; energy relative to the elements = 0.027 eV/atom; space-group type = I4/mmm (139); D(E_F) = 7.3 states/eV/cell; volume = 16.18 A^3/atom; raw total energy = -0.28233 Ha/atom
1.0
-1.9245 1.9245 5.4594
1.9245 -1.9245 5.4594
1.9245 1.9245 -5.4594
Zr Ti Co
1 2 2
Direct
0.0000 0.0000 0.0000
0.3739 0.3739 0.0000
0.6261 0.6261 0.0000
0.2500 0.7500 0.5000
0.7500 0.2500 0.5000


Record 7
Rb3Na2In8 | Alexandria via LeMat-Bulk | PBE-GGA | optimized geometry; energy relative to the elements = -0.058 eV/atom; space-group type = P-1 (2); D(E_F) = 4.6 states/eV/cell; volume = 36.19 A^3/atom; raw total energy = -0.07973 Ha/atom
1.0
7.3747 0.0000 0.0000
-1.2248 7.4345 0.0000
-2.3298 -4.0488 8.5815
Rb Na In
3 2 8
Direct
0.0000 0.0000 0.0000
0.2039 0.6732 0.2571
0.7961 0.3268 0.7429
0.3811 0.5724 0.8227
0.6189 0.4276 0.1773
0.0425 0.7137 0.6158
0.2103 0.1123 0.5927
0.3929 0.2841 0.4045
0.4506 0.0098 0.8344
0.5494 0.9902 0.1656
0.6071 0.7159 0.5955
0.7897 0.8877 0.4073
0.9575 0.2863 0.3842


Record 8
MgZnTeI2 | Alexandria via LeMat-Bulk | PBE-GGA | optimized geometry; raw formation energy = -25 meV per atom; space-group type = P4/mmm (123); D(E_F) = 6.0 states/eV/cell; volume = 36.59 A^3/atom; raw total energy = -0.06787 Ha/atom
1.0
5.6306 0.0000 0.0000
0.0000 5.6306 0.0000
0.0000 0.0000 5.7698
Mg Zn Te I
1 1 1 2
Direct
0.0000 0.0000 0.0000
0.5000 0.5000 0.5000
0.0000 0.0000 0.5000
0.0000 0.5000 0.0000
0.5000 0.0000 0.0000